# 1
{
  "formula": "Pu7AsI12",
  "functional": "GGA-PBE",
  "state": "optimized geometry",
  "e_tot_ev_per_atom": -7.22,
  "formation_energy_uncorrected_ev_per_atom": -1.037,
  "sg": "R-3",
  "lattice": [[1.706, -3.657, -9.029], [4.040, -6.285, 6.480], [-9.783, -0.261, 1.428]],
  "species": ["Pu", "Pu", "Pu", "Pu", "Pu", "Pu", "Pu", "I", "I", "I", "I", "I", "I", "I", "I", "I", "I", "I", "I", "As"],
  "frac_coords": [[0.900, 0.974, 0.680], [0.974, 0.680, 0.900], [0.320, 0.100, 0.026], [0.100, 0.026, 0.320], [0.500, 0.500, 0.500], [0.026, 0.320, 0.100], [0.680, 0.900, 0.974], [0.381, 0.459, 0.148], [0.148, 0.381, 0.459], [0.681, 0.233, 0.077], [0.233, 0.077, 0.681], [0.077, 0.681, 0.233], [0.319, 0.767, 0.923], [0.541, 0.852, 0.619], [0.459, 0.148, 0.381], [0.923, 0.319, 0.767], [0.852, 0.619, 0.541], [0.767, 0.923, 0.319], [0.619, 0.541, 0.852], [0.000, 0.000, 0.000]]
}

# 2
{
  "formula": "K4Rb2HgO",
  "functional": "GGA-PBE",
  "state": "optimized geometry",
  "e_tot_ev_per_atom": -1.85,
  "formation_energy_uncorrected_ev_per_atom": -0.402,
  "sg": "Pmn2_1",
  "lattice": [[-3.877, 2.253, -5.373], [-0.682, -12.964, -4.944], [-7.749, -1.486, 4.968]],
  "species": ["O", "O", "K", "K", "K", "K", "K", "K", "K", "K", "Hg", "Hg", "Rb", "Rb", "Rb", "Rb"],
  "frac_coords": [[0.029, 0.100, 0.000], [0.529, 0.900, 0.500], [0.933, 0.195, 0.789], [0.928, 0.931, 0.000], [0.428, 0.069, 0.500], [0.877, 0.905, 0.500], [0.933, 0.195, 0.211], [0.377, 0.095, 0.000], [0.433, 0.805, 0.289], [0.433, 0.805, 0.711], [0.934, 0.385, 0.500], [0.434, 0.615, 0.000], [0.433, 0.403, 0.734], [0.933, 0.597, 0.766], [0.433, 0.403, 0.266], [0.933, 0.597, 0.234]]
}

# 3
{
  "formula": "LiHoTm2",
  "functional": "GGA-PBE",
  "state": "optimized geometry",
  "de_polymorph_ev_per_atom": 0.113,
  "e_tot_ev_per_atom": -3.67,
  "e_form_kcal_per_mol_atoms": 4.3,
  "sg": "R-3m",
  "lattice": [[-0.261, -3.332, 0.704], [1.785, -1.345, 2.582], [-8.585, 0.733, 8.576]],
  "species": ["Tm", "Tm", "Ho", "Li"],
  "frac_coords": [[0.089, 0.089, 0.734], [0.911, 0.911, 0.266], [0.500, 0.500, 0.500], [0.000, 0.000, 0.000]]
}

# 4
{
  "formula": "LiCrPb2",
  "functional": "GGA-PBE",
  "state": "optimized geometry",
  "e_tot_ev_per_atom": -4.46,
  "e_form_kcal_per_mol_atoms": 6.5,
  "sg": "P4mm",
  "lattice": [[-2.820, -0.930, 2.526], [-2.003, -1.726, -2.871], [2.802, -5.243, 1.198]],
  "species": ["Pb", "Pb", "Cr", "Li"],
  "frac_coords": [[0.000, 0.000, 0.969], [0.500, 0.500, 0.286], [0.000, 0.000, 0.489], [0.500, 0.500, 0.756]]
}

# 5
{
  "formula": "PaTaTiV",
  "functional": "GGA-PBE",
  "state": "optimized geometry",
  "e_tot_ev_per_atom": -9.51,
  "e_form_kcal_per_mol_atoms": 1.9,
  "sg": "F-43m",
  "lattice": [[4.689, 0.000, 0.000], [2.345, 4.061, 0.000], [2.345, 1.354, 3.829]],
  "species": ["Ta", "Pa", "V", "Ti"],
  "frac_coords": [[0.250, 0.250, 0.250], [0.500, 0.500, 0.500], [0.750, 0.750, 0.750], [0.000, 0.000, 0.000]]
}

# 6
{
  "formula": "CrBBr3",
  "functional": "GGA-PBE",
  "state": "optimized geometry",
  "de_polymorph_ev_per_atom": 0.047,
  "e_tot_ev_per_atom": -3.64,
  "formation_energy_uncorrected_ev_per_atom": 0.624,
  "sg": "Pm-3m",
  "lattice": [[-3.251, -1.533, 3.134], [-2.714, -1.580, -3.589], [2.192, -4.230, 0.205]],
  "species": ["Br", "Br", "Br", "B", "Cr"],
  "frac_coords": [[0.000, 0.500, 0.000], [0.000, 0.000, 0.500], [0.500, 0.000, 0.000], [0.000, 0.000, 0.000], [0.500, 0.500, 0.500]]
}

# 7
{
  "formula": "YBiAs2Ir",
  "functional": "GGA-PBE",
  "state": "optimized geometry",
  "de_polymorph_ev_per_atom": 0.000,
  "e_tot_ev_per_atom": -5.63,
  "e_form_kcal_per_mol_atoms": 1.6,
  "sg": "P4/mmm",
  "lattice": [[4.727, 0.000, 0.000], [0.000, 5.900, 0.000], [0.000, 0.000, 4.727]],
  "species": ["As", "As", "Y", "Bi", "Ir"],
  "frac_coords": [[0.500, 0.000, 0.000], [0.000, 0.000, 0.500], [0.500, 0.500, 0.500], [0.000, 0.500, 0.000], [0.000, 0.000, 0.000]]
}

# 8
{
  "formula": "La2VCl",
  "functional": "GGA-PBE",
  "state": "optimized geometry",
  "de_polymorph_ev_per_atom": 0.000,
  "e_tot_ev_per_atom": -5.29,
  "formation_energy_uncorrected_ev_per_atom": -0.083,
  "sg": "Fm-3m",
  "lattice": [[0.963, -5.244, 0.285], [-0.691, -2.595, 4.615], [-4.053, -3.432, 0.552]],
  "species": ["V", "La", "La", "Cl"],
  "frac_coords": [[0.500, 0.500, 0.500], [0.250, 0.250, 0.250], [0.750, 0.750, 0.750], [0.000, 0.000, 0.000]]
}

Repeat the sixth record exactly.
{
  "formula": "CrBBr3",
  "functional": "GGA-PBE",
  "state": "optimized geometry",
  "de_polymorph_ev_per_atom": 0.047,
  "e_tot_ev_per_atom": -3.64,
  "formation_energy_uncorrected_ev_per_atom": 0.624,
  "sg": "Pm-3m",
  "lattice": [[-3.251, -1.533, 3.134], [-2.714, -1.580, -3.589], [2.192, -4.230, 0.205]],
  "species": ["Br", "Br", "Br", "B", "Cr"],
  "frac_coords": [[0.000, 0.500, 0.000], [0.000, 0.000, 0.500], [0.500, 0.000, 0.000], [0.000, 0.000, 0.000], [0.500, 0.500, 0.500]]
}